CuRe2Ag: optimized geometry, PBE.

POSCAR file:
```
CuRe2Ag
1.0
-3.411 3.555 -1.291
-3.764 -1.310 -3.171
2.105 -1.804 4.273
Re Cu Ag
2 1 1
Direct
0.000 0.000 0.000
0.500 0.500 0.000
0.750 0.250 0.500
0.250 0.750 0.500
```

Output
The value obtained for the theoretical density is 15.12 g cm⁻³. Its formation energy is 0.60 eV per atom. As for the total energy: -7.3639 eV per atom. For the energy relative to the lowest polymorph listed for this composition, the calculation gives 369 meV per atom.